# 1
DFT (PBE) results for a relaxed structure of NaMg5Hg3.

Summary:
**DFT formation energy**: -1.76 eV per formula unit
**Magnetic moment**: 0.00 μB per atom
**Uncorrected energy**: -1.33 eV/atom

abc: 8.6061 8.6061 6.1852
angles: 90.00 90.00 120.00
Fractional positions:
1 Na 0.0000 0.0000 0.0000
2 Na 0.0000 0.0000 0.5000
3 Mg 0.0000 0.3322 0.2500
4 Mg 0.0000 0.6678 0.7500
5 Mg 0.3322 0.0000 0.2500
6 Mg 0.3322 0.3322 0.7500
7 Mg 0.3333 0.6667 0.0000
8 Mg 0.3333 0.6667 0.5000
9 Mg 0.6667 0.3333 0.0000
10 Mg 0.6667 0.3333 0.5000
11 Mg 0.6678 0.0000 0.7500
12 Mg 0.6678 0.6678 0.2500
13 Hg 0.0000 0.3393 0.7500
14 Hg 0.0000 0.6607 0.2500
15 Hg 0.3393 0.0000 0.7500
16 Hg 0.3393 0.3393 0.2500
17 Hg 0.6607 0.0000 0.2500
18 Hg 0.6607 0.6607 0.7500

---

# 2
DFT (PBE) results for a relaxed structure of NaNdMg2Hg4.

Summary:
**DFT formation energy**: -2.64 eV per formula unit
**Magnetic moment**: 0.00 μB per atom
**Uncorrected energy**: -1.64 eV/atom

abc: 9.1539 9.1539 9.1539
angles: 31.89 31.89 31.89
Fractional positions:
1 Na 0.0000 0.0000 0.0000
2 Nd 0.5000 0.5000 0.5000
3 Mg 0.2535 0.2535 0.2535
4 Mg 0.7465 0.7465 0.7465
5 Hg 0.1180 0.1180 0.1180
6 Hg 0.3734 0.3734 0.3734
7 Hg 0.6266 0.6266 0.6266
8 Hg 0.8820 0.8820 0.8820

---

# 3
DFT (PBE) results for a relaxed structure of NaNdMgHg.

Summary:
**DFT formation energy**: -0.79 eV per formula unit
**Magnetic moment**: 0.00 μB per atom
**Uncorrected energy**: -2.19 eV/atom

abc: 7.3783 7.3783 7.3783
angles: 90.00 90.00 90.00
Fractional positions:
1 Na 0.0000 0.0000 0.0000
2 Na 0.0000 0.5000 0.5000
3 Na 0.5000 0.0000 0.5000
4 Na 0.5000 0.5000 0.0000
5 Nd 0.2500 0.2500 0.2500
6 Nd 0.2500 0.7500 0.7500
7 Nd 0.7500 0.2500 0.7500
8 Nd 0.7500 0.7500 0.2500
9 Mg 0.2500 0.2500 0.7500
10 Mg 0.2500 0.7500 0.2500
11 Mg 0.7500 0.2500 0.2500
12 Mg 0.7500 0.7500 0.7500
13 Hg 0.0000 0.0000 0.5000
14 Hg 0.0000 0.5000 0.0000
15 Hg 0.5000 0.0000 0.0000
16 Hg 0.5000 0.5000 0.5000

---

# 4
DFT (PBE) results for a relaxed structure of Na2MgNiHg.

Summary:
**DFT formation energy**: 1.43 eV per formula unit
**Magnetic moment**: 0.00 μB per atom
**Uncorrected energy**: -1.78 eV/atom

abc: 5.3032 5.3032 4.9016
angles: 90.00 90.00 90.00
Fractional positions:
1 Na 0.0000 0.5000 0.0000
2 Na 0.5000 0.0000 0.0000
3 Mg 0.0000 0.0000 0.5000
4 Ni 0.0000 0.0000 0.0000
5 Hg 0.5000 0.5000 0.5000

---

# 5
DFT (PBE) results for a relaxed structure of NaMgNiHg2.

Summary:
**DFT formation energy**: -0.16 eV per formula unit
**Magnetic moment**: 0.00 μB per atom
**Uncorrected energy**: -1.89 eV/atom

abc: 5.0777 5.0777 4.8028
angles: 90.00 90.00 90.00
Fractional positions:
1 Na 0.0000 0.0000 0.0000
2 Mg 0.5000 0.5000 0.0000
3 Ni 0.5000 0.5000 0.5000
4 Hg 0.0000 0.5000 0.5000
5 Hg 0.5000 0.0000 0.5000

---

# 6
DFT (PBE) results for a relaxed structure of NaMg2HgO.

Summary:
**Magnetic moment**: 0.00 μB per atom
**ΔE_f (raw)**: -0.717 eV per atom
**Uncorrected energy**: -2.67 eV/atom

abc: 4.1311 4.1311 6.2700
angles: 90.00 90.00 90.00
Fractional positions:
1 Na 0.0000 0.0000 0.0000
2 Mg 0.0000 0.5000 0.5000
3 Mg 0.5000 0.0000 0.5000
4 Hg 0.5000 0.5000 0.0000
5 O 0.5000 0.5000 0.5000

---

# 7
DFT (PBE) results for a relaxed structure of NaMgHg2Os.

Summary:
**DFT formation energy**: 7.10 eV per formula unit
**Magnetic moment**: 0.52 μB per atom
**Uncorrected energy**: -1.53 eV/atom

abc: 5.1116 5.1116 5.1514
angles: 90.00 90.00 90.00
Fractional positions:
1 Na 0.0000 0.0000 0.0000
2 Mg 0.0000 0.0000 0.5000
3 Hg 0.0000 0.5000 0.5000
4 Hg 0.5000 0.0000 0.5000
5 Os 0.5000 0.5000 0.0000

---

# 8
DFT (PBE) results for a relaxed structure of NaMg2Hg4Pb.

Summary:
**DFT formation energy**: -1.10 eV per formula unit
**Magnetic moment**: 0.00 μB per atom
**Uncorrected energy**: -1.32 eV/atom

abc: 9.1394 9.1394 9.1394
angles: 32.36 32.36 32.36
Fractional positions:
1 Na 0.0000 0.0000 0.0000
2 Mg 0.2498 0.2498 0.2498
3 Mg 0.7502 0.7502 0.7502
4 Hg 0.1168 0.1168 0.1168
5 Hg 0.3696 0.3696 0.3696
6 Hg 0.6304 0.6304 0.6304
7 Hg 0.8832 0.8832 0.8832
8 Pb 0.5000 0.5000 0.5000